# 1
An optimized crystal structure of BaCr2Pt. Source: Alexandria, functional PBE.

a b c (Å): 4.715 4.715 6.073
angles (deg): 77.54 77.54 43.78
Atoms (fractional coordinates):
Ba: 0.250 0.250 0.250
Cr: 0.029 0.029 0.840
Cr: 0.471 0.471 0.660
Pt: 0.750 0.750 0.750

Results
energy relative to the lowest polymorph listed for this composition = 288 meV per atom

---

# 2
An optimized crystal structure of Ba2CrPt. Source: Alexandria, functional PBE.

a b c (Å): 4.556 4.859 6.654
angles (deg): 68.54 90.00 90.00
Last column: magnetic moment on the atom in μB.
Atoms (fractional coordinates):
Ba: 0.000 0.983 0.909  0.02
Ba: 0.500 0.266 0.343  0.00
Cr: 0.000 0.675 0.525  3.69
Pt: 0.500 0.575 0.724  0.06

Results
energy relative to the lowest polymorph listed for this composition = 75 meV per atom

---

# 3
An optimized crystal structure of Ba2CrPt. Source: Alexandria, functional PBE.

a b c (Å): 4.574 4.574 8.965
angles (deg): 75.34 75.34 59.84
Last column: magnetic moment on the atom in μB.
Atoms (fractional coordinates):
Ba: 0.985 0.985 0.044  0.02
Ba: 0.515 0.515 0.456  0.02
Cr: 0.750 0.750 0.750  4.18
Pt: 0.250 0.250 0.250  0.03

Results
energy relative to the lowest polymorph listed for this composition = 309 meV per atom

---

# 4
An optimized crystal structure of BaCr3Pt. Source: Alexandria, functional PBE.

a b c (Å): 5.077 5.077 5.077
angles (deg): 90.00 90.00 90.00
Last column: magnetic moment on the atom in μB.
Atoms (fractional coordinates):
Cr: 0.000 0.500 0.000  3.70
Cr: 0.000 0.000 0.500  3.70
Cr: 0.500 0.000 0.000  3.56
Ba: 0.500 0.500 0.500  0.06
Pt: 0.000 0.000 0.000  0.13

Results
energy relative to the lowest polymorph listed for this composition = 0 meV per atom

---

# 5
An optimized crystal structure of BaCrPt2. Source: Alexandria, functional PBE.

a b c (Å): 4.579 4.881 4.825
angles (deg): 83.94 90.00 90.00
Last column: magnetic moment on the atom in μB.
Atoms (fractional coordinates):
Ba: 0.000 0.457 0.500  0.02
Cr: 0.500 0.777 0.943  3.19
Pt: 0.000 0.984 0.008  -0.04
Pt: 0.500 0.282 0.049  -0.04

Results
energy relative to the lowest polymorph listed for this composition = 246 meV per atom

---

# 6
An optimized crystal structure of BaCr2Pt. Source: Alexandria, functional PBE.

a b c (Å): 9.639 9.639 9.639
angles (deg): 18.49 18.49 18.49
Last column: magnetic moment on the atom in μB.
Atoms (fractional coordinates):
Ba: 0.752 0.752 0.752  0.01
Cr: 0.977 0.977 0.977  -2.27
Cr: 0.255 0.255 0.255  2.22
Pt: 0.516 0.516 0.516  0.18

Results
energy relative to the lowest polymorph listed for this composition = 622 meV per atom

---

Which ΔH_f (0 K) belongs to each record? In order, 0.38; -0.09; 0.15; 0.73; -0.16; 0.72 eV per atom.